19
Lattice="7.806 -4.580 0.000 7.806 4.580 0.000 -0.246 0.000 8.339" Properties=species:S:1:pos:R:3 comment="Tb12Y5Cd2 (PBE-GGA, relaxed)" energy_ev_per_fu=-88.85 spacegroup=C2/m rho_g_cm3=7.176 pbc="T T T"
Tb 0.773 0.000 2.721
Tb 5.771 2.791 2.781
Tb 5.282 1.697 6.339
Tb 9.594 2.791 5.557
Tb 6.456 0.000 0.927
Tb 10.084 1.697 2.000
Tb 5.282 -1.697 6.339
Tb 8.909 0.000 7.412
Tb 5.771 -2.791 2.781
Tb 10.084 -1.697 2.000
Tb 9.594 -2.791 5.557
Tb 14.592 0.000 5.618
Y 3.060 0.000 0.077
Y 4.033 0.000 3.515
Y 7.683 0.000 4.169
Y 11.332 0.000 4.823
Y 12.305 0.000 8.262
Cd 7.806 2.965 0.000
Cd 7.806 -2.965 0.000